(1)
Computed, not measured: crystalline ScAu6 at its relaxed geometry at the PBE-GGA level of DFT.

Cell lengths 6.4181, 6.4181, 6.4181 Å; angles 109.47, 109.47, 109.47 degrees
Last column: magnetic moment on the atom in μB.
Fractional coordinates of all 7 atoms:
Au  0.2500  0.7500  0.5000  0.01
Au  0.7500  0.5000  0.2500  0.01
Au  0.5000  0.2500  0.7500  0.01
Au  0.2500  0.5000  0.7500  0.01
Au  0.5000  0.7500  0.2500  0.01
Au  0.7500  0.2500  0.5000  0.01
Sc  0.0000  0.0000  0.0000  0.79

Values from the calculation:
density: 10.0 g cm⁻³
E_tot: -21.511 eV per cell
space group: Im-3m
formation energy from the elements: 0.641 eV per atom

=====

(2)
Computed, not measured: crystalline Sc2Au3 at its relaxed geometry at the PBE-GGA level of DFT.

Cell lengths 10.0202, 10.0202, 10.0202 Å; angles 20.43, 20.43, 20.43 degrees
Fractional coordinates of all 5 atoms:
Sc  0.4002  0.4002  0.4002
Sc  0.5998  0.5998  0.5998
Au  0.0000  0.0000  0.0000
Au  0.7975  0.7975  0.7975
Au  0.2025  0.2025  0.2025

Values from the calculation:
density: 10.5 g cm⁻³
E_tot: -25.052 eV per cell
space group: R-3m
excess energy over the best structure of this formula in the dataset: 0.293 eV/atom
formation energy from the elements: -0.511 eV per atom

=====

(3)
Computed, not measured: crystalline Sc3Au at its relaxed geometry at the PBE-GGA level of DFT.

Cell lengths 3.3518, 3.2386, 8.8850 Å; angles 90.00, 90.00, 90.00 degrees
Last column: magnetic moment on the atom in μB.
Fractional coordinates of all 4 atoms:
Sc  0.5000  0.5000  0.1568  -0.01
Sc  0.5000  0.0000  0.7228  0.13
Sc  0.0000  0.5000  0.4682  0.15
Au  0.0000  0.0000  0.9855  0.00

Values from the calculation:
density: 5.7 g cm⁻³
E_tot: -22.888 eV per cell
space group: Pmm2
formation energy from the elements: -0.154 eV per atom